# 1
Material: SrTcSe2
Method: DFT, GGA-PBE
State: relaxed

The calculated total energy comes out at -21.3 eV per cell. The calculation puts the energy above the most stable polymorph in this dataset at 199 meV/atom. Its volume is 104.4 Å³/f.u.

The space group is P2/m (No. 10) and the conventional cell measures 4.0357, 3.7145 and 6.9659 Å, with angles of 90.00, 90.83 and 90.00 degrees. Symmetry generates all atoms from Sr at (0.0000, 0.0000, 0.0000), Tc at (0.5000, 0.0000, 0.5000) and Se at (0.4930, 0.5000, 0.7524).

# 2
Material: SrTcSe2
Method: DFT, GGA-PBE
State: relaxed

The calculated total energy comes out at -60.2 eV per cell. The calculation puts the energy above the most stable polymorph in this dataset at 502 meV/atom. Its volume is 112.2 Å³/f.u.

The space group is R-3m (No. 166, hexagonal axes) and the conventional cell measures 3.8329, 3.8329 and 26.4509 Å, with angles of 90.00, 90.00 and 120.00 degrees. Symmetry generates all atoms from Sr at (0.0000, 0.0000, 0.0000), Tc at (0.0000, 0.0000, 0.5000) and Se at (0.0000, 0.0000, 0.1148).